1.
Here is a relaxed LuZrInNi crystal from the Open Quantum Materials Database. Energies are from GGA-PBE.

Calculated values
Calculated total energy in eV/cell: -21.0

Structure (POSCAR):
```
LuZrInNi
1.0
0.000 3.439 3.439
3.439 0.000 3.439
3.439 3.439 0.000
In Lu Ni Zr
1 1 1 1
direct
0.000 0.000 0.000
0.250 0.250 0.250
0.750 0.750 0.750
0.500 0.500 0.500
```

2.
Here is a relaxed LuInPO crystal from the Open Quantum Materials Database. Energies are from GGA-PBE.

Calculated values
Distance to the lowest polymorph of the same formula in kcal/mol of atoms: 1.277
Calculated total energy in eV/cell: -46.0

Structure (POSCAR):
```
LuInPO
1.0
4.433 0.000 0.000
0.000 6.458 0.000
0.000 0.000 6.306
In Lu O P
2 2 2 2
direct
0.000 0.707 0.456
0.000 0.293 0.956
0.500 0.860 0.046
0.500 0.140 0.546
0.500 0.863 0.379
0.500 0.137 0.879
0.000 0.308 0.374
0.000 0.692 0.874
```

3.
Here is a relaxed LuInPO crystal from the Open Quantum Materials Database. Energies are from GGA-PBE.

Calculated values
Distance to the lowest polymorph of the same formula in kcal/mol of atoms: 14.696
Calculated total energy in eV/cell: -41.3

Structure (POSCAR):
```
LuInPO
1.0
-1.065 -0.716 -4.174
2.680 -3.447 -0.093
-6.055 -4.772 2.363
In Lu O P
2 2 2 2
direct
0.000 0.000 0.103
0.500 0.500 0.897
0.500 0.000 0.500
0.000 0.500 0.500
0.500 0.000 0.000
0.000 0.500 0.000
0.500 0.500 0.315
0.000 0.000 0.685
```

4.
Here is a relaxed LuInPO crystal from the Open Quantum Materials Database. Energies are from GGA-PBE.

Calculated values
Distance to the lowest polymorph of the same formula in kcal/mol of atoms: 0.000
Calculated total energy in eV/cell: -46.4

Structure (POSCAR):
```
LuInPO
1.0
-0.367 3.861 1.857
-4.135 0.170 -1.170
-2.110 -3.540 6.943
In Lu O P
2 2 2 2
direct
0.000 0.000 0.500
0.500 0.500 0.500
0.000 0.500 0.087
0.500 0.000 0.913
0.000 0.000 0.000
0.500 0.500 0.000
0.500 0.000 0.302
0.000 0.500 0.698
```

5.
Here is a relaxed LuInPO crystal from the Open Quantum Materials Database. Energies are from GGA-PBE.

Calculated values
Distance to the lowest polymorph of the same formula in kcal/mol of atoms: 3.925
Calculated total energy in eV/cell: -45.0

Structure (POSCAR):
```
LuInPO
1.0
5.412 0.000 0.000
0.000 5.412 0.000
0.000 0.000 4.982
In Lu O P
2 2 2 2
direct
0.000 0.500 0.011
0.500 0.000 0.989
0.000 0.000 0.500
0.500 0.500 0.500
0.000 0.000 0.000
0.500 0.500 0.000
0.500 0.000 0.488
0.000 0.500 0.512
```

6.
Here is a relaxed LuInPO crystal from the Open Quantum Materials Database. Energies are from GGA-PBE.

Calculated values
Distance to the lowest polymorph of the same formula in kcal/mol of atoms: 1.299
Calculated total energy in eV/cell: -46.0

Structure (POSCAR):
```
LuInPO
1.0
-2.547 3.037 0.433
-5.762 -4.546 -2.007
-0.765 -1.410 5.388
In Lu O P
2 2 2 2
direct
0.500 0.618 0.500
0.500 0.382 0.000
0.000 0.178 0.429
0.000 0.822 0.929
0.500 0.281 0.404
0.500 0.719 0.904
0.000 0.821 0.421
0.000 0.179 0.921
```